Pr3SN2, optimized geometry, DFT GGA-PBE; crystal system = orthorhombic; E_tot = -83.73 eV/cell
1.0
4.4786 -6.3661 0.0000
4.4786 6.3661 0.0000
0.0000 0.0000 5.9901
Pr S N
6 2 4
Direct
0.0898 0.9102 0.7500
0.1577 0.3792 0.7500
0.3792 0.1577 0.2500
0.6208 0.8423 0.7500
0.8423 0.6208 0.2500
0.9102 0.0898 0.2500
0.2384 0.7616 0.2500
0.7616 0.2384 0.7500
0.1714 0.1714 0.0000
0.1714 0.1714 0.5000
0.8286 0.8286 0.0000
0.8286 0.8286 0.5000